1.
# CePmTh2P4 (PBE, relaxed)
data_CePmTh2P4
_chemical_formula_sum 'Ce1 Pm1 Th2 P4'
_cell_length_a 7.1429
_cell_length_b 4.1323
_cell_length_c 7.1574
_cell_angle_alpha 90.00
_cell_angle_beta 109.50
_cell_angle_gamma 90.00
_space_group_name_H-M_alt 'P 1 2/m 1'
_space_group_IT_number 10
_space_group_name_Hall '-P 2y'
loop_
_atom_site_label
_atom_site_fract_x
_atom_site_fract_y
_atom_site_fract_z
Ce1 0.0000 0.0000 0.0000
Pm1 0.0000 0.5000 0.5000
Th1 0.5000 0.0000 0.5000
Th2 0.5000 0.5000 0.0000
P1 0.2485 0.5000 0.2479
P2 0.2502 0.0000 0.7521
# - calculated density (g cm⁻³) = 7.28
# - ΔH_f (0 K) (eV/atom) = -1.558
# - total energy (eV/atom) = -7.454

2.
# AgTe2O6 (PBE, relaxed)
data_AgTe2O6
_chemical_formula_sum 'Ag1 Te2 O6'
_cell_length_a 5.4477
_cell_length_b 5.4477
_cell_length_c 5.2223
_cell_angle_alpha 90.00
_cell_angle_beta 90.00
_cell_angle_gamma 120.00
_space_group_name_H-M_alt 'P -3 1 m'
_space_group_IT_number 162
_space_group_name_Hall '-P 3 2'
loop_
_atom_site_label
_atom_site_fract_x
_atom_site_fract_y
_atom_site_fract_z
Ag1 0.0000 0.0000 0.0000
Te1 0.3333 0.6667 0.5000
O1 0.0000 0.3774 0.7102
# - calculated density (g cm⁻³) = 5.68
# - total energy (eV/atom) = -5.055
# - raw formation energy (eV/f.u.) = -6.61

> Which formula does entry 1 have?

CePmTh2P4